Ta2CoTe at its PBEsol-relaxed geometry, computed with SCAN.

## Properties
The uncorrected formation energy is 86 kJ/mol of formula units. The symmetry is Pmmm. The magnetic moment is 0.0 μB per formula unit.

```
Ta2CoTe
1.0
3.463 0.000 0.000
0.000 4.328 0.000
0.000 0.000 4.358
Ta Co Te
2 1 1
direct
0.000 0.000 0.000
0.500 0.500 0.000
0.000 0.500 0.500
0.500 0.000 0.500
```